(1)
The following is a DFT calculation (PBE) of crystalline Be2Nb2Co5Mo at its relaxed geometry.

Properties
- ΔE_f: -176 kJ/mol of formula units
- Electronic total energy: -7.58 eV per atom
- D(E_F): 0.989 states/eV/atom

Cell: 8.428 8.428 3.328 Å, 90.00 90.00 90.00°
Fractional positions:
1 Be 0.117 0.383 0.000
2 Be 0.383 0.883 0.000
3 Be 0.617 0.117 0.000
4 Be 0.883 0.617 0.000
5 Nb 0.177 0.677 0.000
6 Nb 0.323 0.177 0.000
7 Nb 0.677 0.823 0.000
8 Nb 0.823 0.323 0.000
9 Co 0.000 0.500 0.500
10 Co 0.068 0.212 0.500
11 Co 0.212 0.932 0.500
12 Co 0.288 0.432 0.500
13 Co 0.432 0.712 0.500
14 Co 0.500 0.000 0.500
15 Co 0.568 0.288 0.500
16 Co 0.712 0.568 0.500
17 Co 0.788 0.068 0.500
18 Co 0.932 0.788 0.500
19 Mo 0.000 0.000 0.000
20 Mo 0.500 0.500 0.000


(2)
The following is a DFT calculation (PBE) of crystalline YCrBr2 at its relaxed geometry.

Properties
- Formation energy from raw total energies: -0.42 eV per atom
- E above lowest polymorph: 0.164 eV/atom
- Electronic total energy: -5.28 eV per atom
- D(E_F): 0.566 states/eV/atom

Cell: 10.027 10.027 10.027 Å, 21.05 21.05 21.05°
Fractional positions:
1 Y 0.000 0.000 0.000
2 Cr 0.500 0.500 0.500
3 Br 0.266 0.266 0.266
4 Br 0.734 0.734 0.734


(3)
The following is a DFT calculation (PBE) of crystalline LiTmInAu at its relaxed geometry.

Properties
- ΔE_f: -238 kJ/mol of formula units
- Electronic total energy: -3.72 eV per atom
- D(E_F): 0.163 states/eV/atom

Cell: 4.812 4.812 4.812 Å, 60.00 60.00 60.00°
Fractional positions:
1 Li 0.000 0.000 0.000
2 Tm 0.750 0.750 0.750
3 In 0.250 0.250 0.250
4 Au 0.500 0.500 0.500


(4)
The following is a DFT calculation (PBE) of crystalline SrAlSb2Au at its relaxed geometry.

Properties
- Formation energy from raw total energies: 0.20 eV per atom
- Electronic total energy: -3.19 eV per atom
- D(E_F): 0.372 states/eV/atom

Cell: 5.144 5.144 6.283 Å, 90.00 90.00 90.00°
Fractional positions:
1 Sr 0.000 0.000 0.000
2 Al 0.000 0.000 0.500
3 Sb 0.000 0.500 0.500
4 Sb 0.500 0.000 0.500
5 Au 0.500 0.500 0.000


(5)
The following is a DFT calculation (PBE) of crystalline TaAgAs2 at its relaxed geometry.

Properties
- ΔE_f: 48 kJ/mol of formula units
- Electronic total energy: -5.88 eV per atom
- D(E_F): 0.617 states/eV/atom

Cell: 4.634 4.634 5.493 Å, 99.80 99.80 40.84°
Fractional positions:
1 Ta 0.000 0.000 0.000
2 Ag 0.500 0.500 0.500
3 As 0.273 0.273 0.801
4 As 0.727 0.727 0.199


(6)
The following is a DFT calculation (PBE) of crystalline V5WC4 at its relaxed geometry.

Properties
- ΔE_f: -329 kJ/mol of formula units
- Electronic total energy: -9.89 eV per atom
- D(E_F): 0.487 states/eV/atom

Cell: 6.580 6.580 5.897 Å, 104.82 104.82 25.96°
Fractional positions:
1 V 0.000 0.000 0.000
2 V 0.331 0.331 0.169
3 V 0.334 0.334 0.646
4 V 0.666 0.666 0.354
5 V 0.669 0.669 0.831
6 W 0.000 0.000 0.500
7 C 0.172 0.172 0.597
8 C 0.495 0.495 0.235
9 C 0.505 0.505 0.765
10 C 0.828 0.828 0.403